A plane-wave DFT calculation with PBE was carried out for crystalline K2HgF12 at its relaxed geometry.

Properties
Magnetic moment (μB per formula unit): 4.02
Formation energy from raw total energies (kJ/mol of formula units): -1238
N(E_F) (states/eV per cell): 10.337

Structure (POSCAR):
```
K2HgF12
1.0
4.050 0.000 0.000
0.000 4.050 0.000
0.000 0.000 14.354
K Hg F
2 1 12
direct
0.000 0.000 0.181
0.000 0.000 0.819
0.000 0.000 0.500
0.000 0.500 0.065
0.000 0.500 0.412
0.000 0.500 0.588
0.000 0.500 0.935
0.500 0.000 0.065
0.500 0.000 0.412
0.500 0.000 0.588
0.500 0.000 0.935
0.500 0.500 0.186
0.500 0.500 0.292
0.500 0.500 0.708
0.500 0.500 0.814
```